# CePr4Ho6

A relaxed CePr4Ho6 crystal (PBE-GGA, Alexandria).

Cell: 9.6832 9.6832 9.6832 Å, 139.53 139.53 58.56°
Last column: nearest neighbours and their distance in Å.
Fractional positions:
Ce1 0.0000 0.0000 0.0000  8 Ho 3.35-3.66, 4 Pr 3.46
Pr1 0.0170 0.0170 0.3824  7 Ho 3.43-3.82, 1 Ce 3.46, 1 Pr 3.62
Pr2 0.3654 0.9830 0.0000  7 Ho 3.43-3.82, 1 Ce 3.46, 1 Pr 3.62
Pr3 0.6346 0.6346 0.6176  7 Ho 3.43-3.82, 1 Ce 3.46, 1 Pr 3.62
Pr4 0.9830 0.3654 0.0000  7 Ho 3.43-3.82, 1 Ce 3.46, 1 Pr 3.62
Ho1 0.0000 0.5000 0.5000  4 Ho 3.21, 2 Ce 3.35
Ho2 0.1963 0.5584 0.0000  3 Ho 3.21-3.43, 3 Pr 3.43-3.50
Ho3 0.4416 0.4416 0.6379  3 Ho 3.21-3.43, 3 Pr 3.43-3.50
Ho4 0.5000 0.0000 0.5000  4 Ho 3.21, 2 Ce 3.35
Ho5 0.5584 0.1963 0.0000  3 Ho 3.21-3.43, 3 Pr 3.43-3.50
Ho6 0.8037 0.8037 0.3621  3 Ho 3.21-3.43, 3 Pr 3.43-3.50

Uncorrected energy ... -4.47 eV/atom
Fermi-level density of states ... 1.372 states/eV/atom
Formation energy from the elements ... 0.31 eV/atom

***

# BeZn3S

A relaxed BeZn3S crystal (PBE-GGA, Alexandria).

Cell: 4.3957 4.3957 4.3957 Å, 90.00 90.00 90.00°
Last column: nearest neighbours and their distance in Å.
Fractional positions:
Be1 0.0000 0.0000 0.0000  6 Zn 2.20
Zn1 0.0000 0.0000 0.5000  2 Be 2.20
Zn2 0.0000 0.5000 0.0000  2 Be 2.20
Zn3 0.5000 0.0000 0.0000  2 Be 2.20
S1 0.5000 0.5000 0.5000  12 Zn 3.11

Energy above the lowest structure with this stoichiometry ... 0.000 eV per atom
Uncorrected energy ... -1.92 eV/atom
Fermi-level density of states ... 0.750 states/eV/atom
Uncorrected formation energy ... 2.1 eV per formula unit

***

The highest Fermi-level density of states belongs to which entry?
CePr4Ho6

***

Repeat the first record exactly.
# CePr4Ho6

A relaxed CePr4Ho6 crystal (PBE-GGA, Alexandria).

Cell: 9.6832 9.6832 9.6832 Å, 139.53 139.53 58.56°
Last column: nearest neighbours and their distance in Å.
Fractional positions:
Ce1 0.0000 0.0000 0.0000  8 Ho 3.35-3.66, 4 Pr 3.46
Pr1 0.0170 0.0170 0.3824  7 Ho 3.43-3.82, 1 Ce 3.46, 1 Pr 3.62
Pr2 0.3654 0.9830 0.0000  7 Ho 3.43-3.82, 1 Ce 3.46, 1 Pr 3.62
Pr3 0.6346 0.6346 0.6176  7 Ho 3.43-3.82, 1 Ce 3.46, 1 Pr 3.62
Pr4 0.9830 0.3654 0.0000  7 Ho 3.43-3.82, 1 Ce 3.46, 1 Pr 3.62
Ho1 0.0000 0.5000 0.5000  4 Ho 3.21, 2 Ce 3.35
Ho2 0.1963 0.5584 0.0000  3 Ho 3.21-3.43, 3 Pr 3.43-3.50
Ho3 0.4416 0.4416 0.6379  3 Ho 3.21-3.43, 3 Pr 3.43-3.50
Ho4 0.5000 0.0000 0.5000  4 Ho 3.21, 2 Ce 3.35
Ho5 0.5584 0.1963 0.0000  3 Ho 3.21-3.43, 3 Pr 3.43-3.50
Ho6 0.8037 0.8037 0.3621  3 Ho 3.21-3.43, 3 Pr 3.43-3.50

Uncorrected energy ... -4.47 eV/atom
Fermi-level density of states ... 1.372 states/eV/atom
Formation energy from the elements ... 0.31 eV/atom